Record 1
Compound: CeDyZnCo
Source: the Alexandria database
Functional: PBE-GGA
Structure: optimized geometry

abc: 4.9126 4.9126 4.9126
angles: 60.00 60.00 60.00
Site moments in Bohr magnetons follow the coordinates.
Fractional positions:
1 Ce 0.2500 0.2500 0.2500  -0.37
2 Zn 0.0000 0.0000 0.0000  0.00
3 Co 0.5000 0.5000 0.5000  0.56
4 Dy 0.7500 0.7500 0.7500  -0.08

Summary:
- crystal system = cubic

=====

Record 2
Compound: CeEr2Co
Source: the Alexandria database
Functional: PBE-GGA
Structure: optimized geometry

abc: 3.3396 3.3396 8.7908
angles: 90.00 90.00 90.00
Site moments in Bohr magnetons follow the coordinates.
Fractional positions:
1 Co 0.5000 0.5000 0.0000  0.76
2 Er 0.0000 0.0000 0.8179  -0.04
3 Er 0.0000 0.0000 0.1821  -0.04
4 Ce 0.5000 0.5000 0.5000  0.88

Summary:
- crystal system = tetragonal
- ΔE to the lowest computed polymorph (eV per atom) = 0.1370

=====

Record 3
Compound: Ce3Er2Co2
Source: the Alexandria database
Functional: PBE-GGA
Structure: optimized geometry

abc: 3.6059 5.8822 8.6481
angles: 69.36 77.97 72.15
Fractional positions:
1 Er 0.8319 0.5334 0.8027
2 Ce 0.6197 0.1930 0.5675
3 Ce 0.5000 0.0000 0.0000
4 Co 0.8760 0.0387 0.2092
5 Co 0.1240 0.9613 0.7908
6 Ce 0.3803 0.8070 0.4325
7 Er 0.1681 0.4666 0.1973

Summary:
- crystal system = monoclinic

=====

Record 4
Compound: Ce2ErCo2
Source: the Alexandria database
Functional: PBE-GGA
Structure: optimized geometry

abc: 4.5199 6.5214 8.1660
angles: 87.33 69.79 68.65
Fractional positions:
1 Ce 0.1628 0.7167 0.8936
2 Er 0.3583 0.0013 0.3281
3 Ce 0.9243 0.4146 0.6608
4 Co 0.3423 0.7033 0.5798
5 Co 0.5064 0.1984 0.9956
6 Ce 0.8372 0.2833 0.1064
7 Co 0.6577 0.2967 0.4202
8 Ce 0.0757 0.5854 0.3392
9 Co 0.4936 0.8016 0.0044
10 Er 0.6417 0.9987 0.6719

Summary:
- crystal system = triclinic
- ΔE to the lowest computed polymorph (eV per atom) = 0.0000

=====

no.,total DFT energy (no corrections) (eV/atom),density of states at the Fermi level (states/eV per atom),energy relative to the elements (eV/f.u.)
1,-4.880,1.42,-0.604
2,-5.598,1.52,-0.226
3,-6.038,1.58,-1.124
4,-6.319,1.16,-0.951